Entry 1:
Computed, not measured: YAgP2O after structural relaxation at the PBE-GGA level of DFT.

Cell: 4.793 4.793 4.121 Å, 90.00 90.00 90.00°
Atoms (fractional coordinates):
1 Y 0.000 0.000 0.000
2 Ag 0.500 0.500 0.500
3 P 0.000 0.500 0.500
4 P 0.500 0.000 0.500
5 O 0.500 0.500 0.000

Properties
Space-group type ... No. 123
Total magnetization ... 0.000 μB per atom
Formation energy without anion corrections ... -17 meV per atom
Excess energy over the best structure of this formula in the dataset ... 0.00 eV/f.u.
Theoretical density ... 4.818 Mg/m³

Entry 2:
Computed, not measured: YAgPO2 after structural relaxation at the PBE-GGA level of DFT.

Cell: 4.224 4.224 6.076 Å, 90.00 90.00 90.00°
Atoms (fractional coordinates):
1 Y 0.000 0.000 0.000
2 Ag 0.500 0.500 0.500
3 P 0.000 0.000 0.500
4 O 0.000 0.500 0.000
5 O 0.500 0.000 0.000

Properties
Space-group type ... No. 123
Total magnetization ... 0.378 μB per atom
Formation energy without anion corrections ... -631 meV per atom
Excess energy over the best structure of this formula in the dataset ... 0.00 eV/f.u.
Theoretical density ... 3.978 Mg/m³

Entry 3:
Computed, not measured: YAgPO2 after structural relaxation at the PBE-GGA level of DFT.

Cell: 4.145 4.145 4.722 Å, 90.00 90.00 90.00°
Atoms (fractional coordinates):
1 Y 0.000 0.000 0.000
2 Ag 0.500 0.500 0.500
3 P 0.500 0.500 0.000
4 O 0.000 0.500 0.500
5 O 0.500 0.000 0.500

Properties
Space-group type ... No. 123
Total magnetization ... 0.000 μB per atom
Formation energy without anion corrections ... -464 meV per atom
Excess energy over the best structure of this formula in the dataset ... 0.84 eV/f.u.
Theoretical density ... 5.317 Mg/m³

Entry 4:
Computed, not measured: ZnAgP3O9 after structural relaxation at the PBE-GGA level of DFT.

Cell: 14.185 10.880 10.146 Å, 90.00 90.00 90.00°
Atoms (fractional coordinates):
1 Zn 0.000 0.000 0.000
2 Zn 0.000 0.000 0.500
3 Zn 0.250 0.500 0.032
4 Zn 0.250 0.500 0.532
5 Zn 0.500 0.000 0.000
6 Zn 0.500 0.000 0.500
7 Zn 0.750 0.500 0.468
8 Zn 0.750 0.500 0.968
9 Ag 0.123 0.248 0.479
10 Ag 0.123 0.752 0.979
11 Ag 0.377 0.248 0.979
12 Ag 0.377 0.752 0.479
13 Ag 0.623 0.248 0.521
14 Ag 0.623 0.752 0.021
15 Ag 0.877 0.248 0.021
16 Ag 0.877 0.752 0.521
17 P 0.101 0.472 0.785
18 P 0.101 0.528 0.285
19 P 0.126 0.252 0.949
20 P 0.126 0.748 0.449
21 P 0.149 0.046 0.762
22 P 0.149 0.954 0.262
23 P 0.351 0.046 0.262
24 P 0.351 0.954 0.762
25 P 0.374 0.252 0.449
26 P 0.374 0.748 0.949
27 P 0.399 0.472 0.285
28 P 0.399 0.528 0.785
29 P 0.601 0.472 0.215
30 P 0.601 0.528 0.715
31 P 0.626 0.252 0.051
32 P 0.626 0.748 0.551
33 P 0.649 0.046 0.238
34 P 0.649 0.954 0.738
35 P 0.851 0.046 0.738
36 P 0.851 0.954 0.238
37 P 0.874 0.252 0.551
38 P 0.874 0.748 0.051
39 P 0.899 0.472 0.715
40 P 0.899 0.528 0.215
41 O 0.000 0.468 0.250
42 O 0.000 0.532 0.750
43 O 0.055 0.177 0.023
44 O 0.055 0.823 0.523
45 O 0.067 0.349 0.862
46 O 0.067 0.651 0.362
47 O 0.094 0.082 0.641
48 O 0.094 0.918 0.141
49 O 0.106 0.044 0.357
50 O 0.106 0.956 0.857
51 O 0.150 0.433 0.661
52 O 0.150 0.443 0.379
53 O 0.150 0.557 0.879
54 O 0.150 0.567 0.161
55 O 0.180 0.169 0.840
56 O 0.180 0.831 0.340
57 O 0.202 0.317 0.024
58 O 0.202 0.683 0.524
59 O 0.250 0.000 0.210
60 O 0.250 0.000 0.710
61 O 0.298 0.317 0.524
62 O 0.298 0.683 0.024
63 O 0.320 0.169 0.340
64 O 0.320 0.831 0.840
65 O 0.350 0.433 0.161
66 O 0.350 0.443 0.879
67 O 0.350 0.557 0.379
68 O 0.350 0.567 0.661
69 O 0.394 0.044 0.857
70 O 0.394 0.956 0.357
71 O 0.406 0.082 0.141
72 O 0.406 0.918 0.641
73 O 0.433 0.349 0.362
74 O 0.433 0.651 0.862
75 O 0.445 0.177 0.523
76 O 0.445 0.823 0.023
77 O 0.500 0.468 0.750
78 O 0.500 0.532 0.250
79 O 0.555 0.177 0.977
80 O 0.555 0.823 0.477
81 O 0.567 0.349 0.138
82 O 0.567 0.651 0.638
83 O 0.594 0.082 0.359
84 O 0.594 0.918 0.859
85 O 0.606 0.044 0.643
86 O 0.606 0.956 0.143
87 O 0.650 0.433 0.339
88 O 0.650 0.443 0.621
89 O 0.650 0.557 0.121
90 O 0.650 0.567 0.839
91 O 0.680 0.169 0.160
92 O 0.680 0.831 0.660
93 O 0.702 0.317 0.976
94 O 0.702 0.683 0.476
95 O 0.750 0.000 0.290
96 O 0.750 0.000 0.790
97 O 0.798 0.317 0.476
98 O 0.798 0.683 0.976
99 O 0.820 0.169 0.660
100 O 0.820 0.831 0.160
101 O 0.850 0.433 0.839
102 O 0.850 0.443 0.121
103 O 0.850 0.557 0.621
104 O 0.850 0.567 0.339
105 O 0.894 0.044 0.143
106 O 0.894 0.956 0.643
107 O 0.906 0.082 0.859
108 O 0.906 0.918 0.359
109 O 0.933 0.349 0.638
110 O 0.933 0.651 0.138
111 O 0.945 0.177 0.477
112 O 0.945 0.823 0.977

Properties
Space-group type ... No. 54
Total magnetization ... 0.000 μB per atom
Formation energy without anion corrections ... -1853 meV per atom
Theoretical density ... 3.480 Mg/m³

Entry 5:
Computed, not measured: ZnAg2PO4 after structural relaxation at the PBE-GGA level of DFT.

Cell: 5.278 5.303 5.475 Å, 61.08 61.25 89.99°
Atoms (fractional coordinates):
1 Zn 0.000 0.000 0.000
2 Ag 0.499 0.497 0.004
3 Ag 0.749 0.250 0.500
4 P 0.249 0.749 0.502
5 O 0.014 0.429 0.724
6 O 0.152 0.985 0.279
7 O 0.262 0.845 0.726
8 O 0.570 0.737 0.279

Properties
Space-group type ... No. 1
Total magnetization ... 0.000 μB per atom
Formation energy without anion corrections ... -1190 meV per atom
Theoretical density ... 5.574 Mg/m³

Entry 6:
Computed, not measured: ZnAg3P3O13 after structural relaxation at the PBE-GGA level of DFT.

Cell: 8.010 6.597 10.560 Å, 90.00 102.47 90.00°
Atoms (fractional coordinates):
1 Zn 0.046 0.250 0.225
2 Zn 0.954 0.750 0.775
3 Ag 0.226 0.250 0.738
4 Ag 0.228 0.750 0.389
5 Ag 0.500 0.000 0.000
6 Ag 0.500 0.500 0.000
7 Ag 0.772 0.250 0.611
8 Ag 0.774 0.750 0.262
9 P 0.181 0.750 0.073
10 P 0.246 0.250 0.472
11 P 0.288 0.750 0.715
12 P 0.712 0.250 0.285
13 P 0.754 0.750 0.528
14 P 0.819 0.250 0.927
15 O 0.027 0.750 0.958
16 O 0.097 0.250 0.548
17 O 0.098 0.750 0.195
18 O 0.167 0.570 0.733
19 O 0.167 0.930 0.733
20 O 0.212 0.073 0.367
21 O 0.212 0.427 0.367
22 O 0.293 0.556 0.082
23 O 0.293 0.944 0.082
24 O 0.344 0.750 0.583
25 O 0.361 0.250 0.922
26 O 0.412 0.250 0.572
27 O 0.454 0.750 0.817
28 O 0.546 0.250 0.183
29 O 0.588 0.750 0.428
30 O 0.639 0.750 0.078
31 O 0.656 0.250 0.417
32 O 0.707 0.056 0.918
33 O 0.707 0.444 0.918
34 O 0.788 0.573 0.633
35 O 0.788 0.927 0.633
36 O 0.833 0.070 0.267
37 O 0.833 0.430 0.267
38 O 0.902 0.250 0.805
39 O 0.903 0.750 0.452
40 O 0.973 0.250 0.042

Properties
Space-group type ... No. 11
Total magnetization ... 0.000 μB per atom
Formation energy without anion corrections ... -1213 meV per atom
Theoretical density ... 4.206 Mg/m³